# 1
{"formula": "NaTl6Pb8", "functional": "GGA-PBE", "state": "optimized geometry", "lattice": [[0.1156, 4.2534, 7.3823], [-1.0253, -4.7194, 7.0199], [6.9589, -1.0786, 4.7972]], "species": ["Na", "Tl", "Tl", "Tl", "Tl", "Tl", "Tl", "Pb", "Pb", "Pb", "Pb", "Pb", "Pb", "Pb", "Pb"], "fractional_positions": [[0.0000, 0.0000, 0.0000], [0.9320, 0.4172, 0.7265], [0.2735, 0.0680, 0.5828], [0.5828, 0.2735, 0.0680], [0.4172, 0.7265, 0.9320], [0.7265, 0.9320, 0.4172], [0.0680, 0.5828, 0.2735], [0.2299, 0.3611, 0.9295], [0.0705, 0.7701, 0.6389], [0.6389, 0.0705, 0.7701], [0.5778, 0.5778, 0.5778], [0.4222, 0.4222, 0.4222], [0.3611, 0.9295, 0.2299], [0.9295, 0.2299, 0.3611], [0.7701, 0.6389, 0.0705]], "final_energy_ev_per_atom": -2.9761, "magnetic_moment_mub_per_cell": 0.0}

***

# 2
{"formula": "Li2Np2NbS6", "functional": "GGA-PBE", "state": "optimized geometry", "lattice": [[-4.4219, -2.3347, -4.2389], [-0.8672, -0.9561, 6.4270], [-1.5125, 6.3547, -0.3173]], "species": ["Li", "Li", "Np", "Np", "Nb", "S", "S", "S", "S", "S", "S"], "fractional_positions": [[0.8395, 0.1605, 0.0000], [0.1605, 0.8395, 0.0000], [0.3357, 0.6643, 0.5000], [0.6643, 0.3357, 0.5000], [0.0000, 0.0000, 0.5000], [0.7683, 0.7683, 0.7461], [0.0730, 0.3931, 0.7418], [0.2317, 0.2317, 0.2539], [0.3931, 0.0730, 0.7418], [0.9270, 0.6069, 0.2582], [0.6069, 0.9270, 0.2582]], "final_energy_ev_per_atom": -7.1123, "magnetic_moment_mub_per_cell": 9.0, "e_form_raw_ev_per_atom": -1.245}

***

# 3
{"formula": "PrInRh", "functional": "GGA-PBE", "state": "optimized geometry", "lattice": [[3.4497, 0.0000, 0.0000], [0.0000, 3.4497, 0.0000], [-1.7248, -1.7248, 5.7744]], "species": ["Pr", "Rh", "In"], "fractional_positions": [[0.5986, 0.5986, 0.1971], [0.9378, 0.9378, 0.8756], [0.3136, 0.3136, 0.6272]], "final_energy_ev_per_atom": -5.4330, "magnetic_moment_mub_per_cell": 0.0}

***

# 4
{"formula": "SrInPtAu", "functional": "GGA-PBE", "state": "optimized geometry", "lattice": [[-1.9508, 1.0249, -4.1890], [3.2936, -3.3701, 0.3158], [-5.2542, -1.6196, 2.0506]], "species": ["Sr", "In", "Pt", "Au"], "fractional_positions": [[0.6190, 0.2380, 0.5001], [0.1018, 0.2035, 0.9473], [0.4189, 0.8378, 0.8979], [0.8267, 0.6533, 0.1220]], "de_polymorph_mev_per_atom": 0, "final_energy_ev_per_atom": -4.0722, "magnetic_moment_mub_per_cell": 0.0}

***

# 5
{"formula": "Ac2PuScSe6", "functional": "GGA-PBE", "state": "optimized geometry", "lattice": [[-4.6032, -5.3049, 0.7379], [5.3142, -4.0357, 4.1382], [-3.7002, 4.2047, 8.8523]], "species": ["Ac", "Ac", "Ac", "Ac", "Pu", "Pu", "Sc", "Sc", "Se", "Se", "Se", "Se", "Se", "Se", "Se", "Se", "Se", "Se", "Se", "Se"], "fractional_positions": [[0.0376, 0.9014, 0.2520], [0.5376, 0.5986, 0.7520], [0.9624, 0.0986, 0.7480], [0.4624, 0.4014, 0.2480], [0.5000, 0.0000, 0.5000], [0.0000, 0.5000, 0.0000], [0.5000, 0.0000, 0.0000], [0.0000, 0.5000, 0.5000], [0.3297, 0.6945, 0.0608], [0.8297, 0.8055, 0.5608], [0.6703, 0.3055, 0.9392], [0.1703, 0.1945, 0.4392], [0.3157, 0.6806, 0.4405], [0.8157, 0.8194, 0.9405], [0.6843, 0.3194, 0.5595], [0.1843, 0.1806, 0.0595], [0.8785, 0.5324, 0.2592], [0.3785, 0.9676, 0.7592], [0.1215, 0.4676, 0.7408], [0.6215, 0.0324, 0.2408]], "final_energy_ev_per_atom": -6.7759, "magnetic_moment_mub_per_cell": 10.0, "e_form_raw_ev_per_atom": -1.797}

***

# 6
{"formula": "Al2O3", "functional": "GGA-PBE", "state": "optimized geometry", "lattice": [[-1.5195, 2.4350, -1.0949], [-2.2085, -3.9455, -5.7094], [-12.5534, -4.3774, 7.6860]], "species": ["Al", "Al", "Al", "Al", "Al", "Al", "Al", "Al", "Al", "Al", "Al", "Al", "O", "O", "O", "O", "O", "O", "O", "O", "O", "O", "O", "O", "O", "O", "O", "O", "O", "O"], "fractional_positions": [[0.0000, 0.9975, 0.0047], [0.0000, 0.9976, 0.5047], [0.5000, 0.7737, 0.9000], [0.5000, 0.7732, 0.4002], [0.5000, 0.8224, 0.6787], [0.5000, 0.8219, 0.1788], [0.5000, 0.1982, 0.8206], [0.5000, 0.1978, 0.3206], [0.5000, 0.2017, 0.1278], [0.5000, 0.2021, 0.6276], [0.0000, 0.5136, 0.7489], [0.0000, 0.5133, 0.2492], [0.0000, 0.7572, 0.9544], [0.0000, 0.3208, 0.8347], [0.0000, 0.7569, 0.4546], [0.5000, 0.0464, 0.7283], [0.5000, 0.0460, 0.2283], [0.5000, 0.9449, 0.5726], [0.5000, 0.9445, 0.0726], [0.5000, 0.6602, 0.8009], [0.5000, 0.0328, 0.9132], [0.5000, 0.6595, 0.3012], [0.5000, 0.3935, 0.7007], [0.5000, 0.3929, 0.2010], [0.5000, 0.0324, 0.4132], [0.0000, 0.7062, 0.6691], [0.0000, 0.2203, 0.5661], [0.0000, 0.7056, 0.1693], [0.0000, 0.3202, 0.3349], [0.0000, 0.2200, 0.0662]], "final_energy_ev_per_atom": -7.4051, "magnetic_moment_mub_per_cell": 0.0, "e_form_raw_ev_per_atom": -2.933}